Density functional theory data (PBE) for an optimized crystal structure of Ac3Zn3Cd8.

## Properties
formation energy: -247 meV per atom

a = 9.0293 Å, b = 9.0293 Å, c = 9.0293 Å
α = 147.13°, β = 114.66°, γ = 75.10°
Positions (direct):
Ac1 0.0000 0.0000 0.0000
Ac2 0.2873 0.2873 0.0000
Ac3 0.7127 0.7127 0.0000
Zn1 0.3528 0.5000 0.8528
Zn2 0.5000 0.0000 0.5000
Zn3 0.6472 0.5000 0.1472
Cd1 0.0029 0.3545 0.6484
Cd2 0.1621 0.8657 0.2964
Cd3 0.2940 0.6455 0.6484
Cd4 0.4308 0.1343 0.2964
Cd5 0.5692 0.8657 0.7036
Cd6 0.7060 0.3545 0.3516
Cd7 0.8379 0.1343 0.7036
Cd8 0.9971 0.6455 0.3516



Density functional theory data (PBE) for an optimized crystal structure of K2FeCl.

## Properties
formation energy (no corrections): 0.2335 eV per atom

a = 8.0563 Å, b = 8.0563 Å, c = 8.0563 Å
α = 90.00°, β = 90.00°, γ = 90.00°
Positions (direct):
K1 0.0000 0.0000 0.0000
K2 0.0000 0.5000 0.5000
K3 0.2500 0.2500 0.2500
K4 0.2500 0.7500 0.7500
K5 0.5000 0.0000 0.5000
K6 0.5000 0.5000 0.0000
K7 0.7500 0.2500 0.7500
K8 0.7500 0.7500 0.2500
Fe1 0.2500 0.2500 0.7500
Fe2 0.2500 0.7500 0.2500
Fe3 0.7500 0.2500 0.2500
Fe4 0.7500 0.7500 0.7500
Cl1 0.0000 0.0000 0.5000
Cl2 0.0000 0.5000 0.0000
Cl3 0.5000 0.0000 0.0000
Cl4 0.5000 0.5000 0.5000